Entry 1:
# NbZnInCu GGA-PBE relaxed
data_NbZnInCu
_cell_length_a 4.004
_cell_length_b 4.008
_cell_length_c 4.146
_cell_angle_alpha 90.00
_cell_angle_beta 90.00
_cell_angle_gamma 90.00
_space_group_name_H-M_alt 'P m m m'
_space_group_IT_number 47
_space_group_name_Hall '-P 2 2'
loop_
_atom_site_label
_atom_site_fract_x
_atom_site_fract_y
_atom_site_fract_z
Nb1 0.000 0.000 0.000
Zn1 0.500 0.500 0.000
In1 0.000 0.500 0.500
Cu1 0.500 0.000 0.500
# crystal system	orthorhombic
# energy of formation	-0.01	eV/atom
# magnetic moment	0.00	Bohr magnetons per cell

---

Entry 2:
# NbZnInCu2 GGA-PBE relaxed
data_NbZnInCu2
_cell_length_a 4.690
_cell_length_b 4.690
_cell_length_c 5.261
_cell_angle_alpha 90.00
_cell_angle_beta 90.00
_cell_angle_gamma 90.00
_space_group_name_H-M_alt 'P 4/m m m'
_space_group_IT_number 123
_space_group_name_Hall '-P 4 2'
loop_
_atom_site_label
_atom_site_fract_x
_atom_site_fract_y
_atom_site_fract_z
Nb1 0.000 0.000 0.000
Zn1 0.500 0.500 0.000
In1 0.000 0.000 0.500
Cu1 0.000 0.500 0.500
# crystal system	tetragonal
# energy of formation	1.22	eV/atom
# magnetic moment	1.13	Bohr magnetons per cell

---

Entry 3:
# Nd6In3Cu GGA-PBE relaxed
data_Nd6In3Cu
_cell_length_a 9.441
_cell_length_b 11.783
_cell_length_c 5.422
_cell_angle_alpha 90.00
_cell_angle_beta 90.00
_cell_angle_gamma 90.00
_space_group_name_H-M_alt 'P n n m'
_space_group_IT_number 58
_space_group_name_Hall '-P 2 2n'
loop_
_atom_site_label
_atom_site_fract_x
_atom_site_fract_y
_atom_site_fract_z
Nd1 0.004 0.238 0.000
Nd2 0.160 0.080 0.500
Nd3 0.175 0.422 0.500
In1 0.000 0.500 0.000
In2 0.164 0.744 0.500
Cu1 0.000 0.000 0.000
# crystal system	orthorhombic
# energy of formation	-0.25	eV/atom
# magnetic moment	0.01	Bohr magnetons per cell

---

Entry 4:
# Nd2In3Cu GGA-PBE relaxed
data_Nd2In3Cu
_cell_length_a 7.607
_cell_length_b 9.661
_cell_length_c 16.763
_cell_angle_alpha 90.00
_cell_angle_beta 90.00
_cell_angle_gamma 90.00
_space_group_name_H-M_alt 'F m m m'
_space_group_IT_number 69
_space_group_name_Hall '-F 2 2'
loop_
_atom_site_label
_atom_site_fract_x
_atom_site_fract_y
_atom_site_fract_z
Nd1 0.247 0.000 0.000
Nd2 0.250 0.250 0.250
In1 0.000 0.000 0.327
In2 0.000 0.240 0.087
Cu1 0.000 0.000 0.168
# crystal system	orthorhombic
# energy of formation	-0.41	eV/atom
# magnetic moment	0.00	Bohr magnetons per cell
# distance to the lowest polymorph of the same formula	20	meV per atom

---

Entry 5:
# Nd8InCu2 GGA-PBE relaxed
data_Nd8InCu2
_cell_length_a 17.730
_cell_length_b 5.094
_cell_length_c 7.908
_cell_angle_alpha 90.00
_cell_angle_beta 114.14
_cell_angle_gamma 90.00
_space_group_name_H-M_alt 'C 1 2/m 1'
_space_group_IT_number 12
_space_group_name_Hall '-C 2y'
loop_
_atom_site_label
_atom_site_fract_x
_atom_site_fract_y
_atom_site_fract_z
Nd1 0.045 0.000 0.262
Nd2 0.094 0.500 0.968
Nd3 0.183 0.500 0.481
Nd4 0.186 0.000 0.792
In1 0.000 0.500 0.500
Cu1 0.188 0.000 0.158
# crystal system	monoclinic
# energy of formation	-0.13	eV/atom
# magnetic moment	0.00	Bohr magnetons per cell
# distance to the lowest polymorph of the same formula	0	meV per atom

---

Entry 6:
# NdInCu4 GGA-PBE relaxed
data_NdInCu4
_cell_length_a 7.369
_cell_length_b 7.369
_cell_length_c 7.369
_cell_angle_alpha 90.00
_cell_angle_beta 90.00
_cell_angle_gamma 90.00
_space_group_name_H-M_alt 'F -4 3 m'
_space_group_IT_number 216
_space_group_name_Hall 'F -4 2 3'
loop_
_atom_site_label
_atom_site_fract_x
_atom_site_fract_y
_atom_site_fract_z
Nd1 0.000 0.000 0.000
In1 0.250 0.250 0.750
Cu1 0.124 0.124 0.376
# crystal system	cubic
# energy of formation	-0.23	eV/atom
# magnetic moment	0.00	Bohr magnetons per cell

---

Entry 7:
# NdIn3Cu GGA-PBE relaxed
data_NdIn3Cu
_cell_length_a 9.036
_cell_length_b 4.494
_cell_length_c 11.593
_cell_angle_alpha 90.00
_cell_angle_beta 90.00
_cell_angle_gamma 90.00
_space_group_name_H-M_alt 'P n m a'
_space_group_IT_number 62
_space_group_name_Hall '-P 2ac 2n'
loop_
_atom_site_label
_atom_site_fract_x
_atom_site_fract_y
_atom_site_fract_z
Nd1 0.186 0.250 0.004
In1 0.064 0.250 0.586
In2 0.114 0.750 0.801
In3 0.137 0.750 0.210
Cu1 0.102 0.250 0.357
# crystal system	orthorhombic
# energy of formation	-0.31	eV/atom
# magnetic moment	0.00	Bohr magnetons per cell

---

Entry 8:
# Nd3In7Cu2 GGA-PBE relaxed
data_Nd3In7Cu2
_cell_length_a 4.614
_cell_length_b 4.550
_cell_length_c 14.406
_cell_angle_alpha 90.00
_cell_angle_beta 99.05
_cell_angle_gamma 90.00
_space_group_name_H-M_alt 'P 1 2/m 1'
_space_group_IT_number 10
_space_group_name_Hall '-P 2y'
loop_
_atom_site_label
_atom_site_fract_x
_atom_site_fract_y
_atom_site_fract_z
Nd1 0.000 0.000 0.000
Nd2 0.315 0.500 0.632
In1 0.085 0.500 0.173
In2 0.222 0.000 0.444
In3 0.416 0.000 0.826
In4 0.500 0.500 0.000
Cu1 0.128 0.000 0.265
# crystal system	monoclinic
# energy of formation	-0.37	eV/atom
# magnetic moment	0.00	Bohr magnetons per cell

---

Entry 9:
# Nd4InCu GGA-PBE relaxed
data_Nd4InCu
_cell_length_a 5.500
_cell_length_b 7.261
_cell_length_c 8.938
_cell_angle_alpha 90.00
_cell_angle_beta 99.61
_cell_angle_gamma 90.00
_space_group_name_H-M_alt 'P 1 21/m 1'
_space_group_IT_number 11
_space_group_name_Hall '-P 2yb'
loop_
_atom_site_label
_atom_site_fract_x
_atom_site_fract_y
_atom_site_fract_z
Nd1 0.146 0.250 0.043
Nd2 0.207 0.750 0.372
Nd3 0.328 0.521 0.735
In1 0.226 0.250 0.414
Cu1 0.367 0.750 0.052
# crystal system	monoclinic
# energy of formation	-0.19	eV/atom
# magnetic moment	0.00	Bohr magnetons per cell
# distance to the lowest polymorph of the same formula	0	meV per atom

---

Entry 10:
# Nd5In4Cu GGA-PBE relaxed
data_Nd5In4Cu
_cell_length_a 3.658
_cell_length_b 3.658
_cell_length_c 20.890
_cell_angle_alpha 90.00
_cell_angle_beta 90.00
_cell_angle_gamma 90.00
_space_group_name_H-M_alt 'P 4/m m m'
_space_group_IT_number 123
_space_group_name_Hall '-P 4 2'
loop_
_atom_site_label
_atom_site_fract_x
_atom_site_fract_y
_atom_site_fract_z
Nd1 0.000 0.000 0.000
Nd2 0.000 0.000 0.207
Nd3 0.000 0.000 0.415
In1 0.500 0.500 0.104
In2 0.500 0.500 0.313
Cu1 0.500 0.500 0.500
# crystal system	tetragonal
# energy of formation	-0.42	eV/atom
# magnetic moment	0.01	Bohr magnetons per cell

---

Entry 11:
# Nd2In5Cu3 GGA-PBE relaxed
data_Nd2In5Cu3
_cell_length_a 4.572
_cell_length_b 26.290
_cell_length_c 7.348
_cell_angle_alpha 90.00
_cell_angle_beta 90.00
_cell_angle_gamma 90.00
_space_group_name_H-M_alt 'C m c 21'
_space_group_IT_number 36
_space_group_name_Hall 'C 2c -2'
loop_
_atom_site_label
_atom_site_fract_x
_atom_site_fract_y
_atom_site_fract_z
Nd1 0.000 0.020 0.000
Nd2 0.000 0.327 0.963
In1 0.000 0.099 0.651
In2 0.000 0.205 0.163
In3 0.000 0.210 0.757
In4 0.000 0.377 0.483
In5 0.000 0.448 0.820
Cu1 0.000 0.107 0.272
Cu2 0.000 0.273 0.457
Cu3 0.000 0.452 0.211
# crystal system	orthorhombic
# energy of formation	-0.30	eV/atom
# magnetic moment	0.00	Bohr magnetons per cell
# distance to the lowest polymorph of the same formula	0	meV per atom

---

Entry 12:
# NdIn2Cu GGA-PBE relaxed
data_NdIn2Cu
_cell_length_a 4.582
_cell_length_b 20.203
_cell_length_c 4.124
_cell_angle_alpha 90.00
_cell_angle_beta 90.00
_cell_angle_gamma 90.00
_space_group_name_H-M_alt 'C m m m'
_space_group_IT_number 65
_space_group_name_Hall '-C 2 2'
loop_
_atom_site_label
_atom_site_fract_x
_atom_site_fract_y
_atom_site_fract_z
Nd1 0.000 0.138 0.000
In1 0.000 0.000 0.500
In2 0.000 0.289 0.500
In3 0.000 0.500 0.000
Cu1 0.000 0.416 0.500
# crystal system	orthorhombic
# energy of formation	-0.34	eV/atom
# magnetic moment	0.00	Bohr magnetons per cell

---

Entry 13:
# Nd2In3Cu GGA-PBE relaxed
data_Nd2In3Cu
_cell_length_a 4.8127
_cell_length_b 4.8127
_cell_length_c 7.7276
_cell_angle_alpha 90.00
_cell_angle_beta 90.00
_cell_angle_gamma 120.00
_space_group_name_H-M_alt 'P 3 m 1'
_space_group_IT_number 156
_space_group_name_Hall 'P 3 -2"'
loop_
_atom_site_label
_atom_site_fract_x
_atom_site_fract_y
_atom_site_fract_z
Nd1 0.0000 0.0000 0.0000
Nd2 0.0000 0.0000 0.4622
In1 0.3333 0.6667 0.2201
In2 0.3333 0.6667 0.7847
In3 0.6667 0.3333 0.6755
Cu1 0.6667 0.3333 0.2794
# crystal system	trigonal
# energy of formation	-0.43	eV/atom
# magnetic moment	0.00	Bohr magnetons per cell
# distance to the lowest polymorph of the same formula	0	meV per atom

---

Entry 14:
# NdIn4Cu4 GGA-PBE relaxed
data_NdIn4Cu4
_cell_length_a 8.694
_cell_length_b 8.694
_cell_length_c 5.267
_cell_angle_alpha 90.00
_cell_angle_beta 90.00
_cell_angle_gamma 90.00
_space_group_name_H-M_alt 'P 42/n'
_space_group_IT_number 86
loop_
_space_group_symop_operation_xyz
'x,y,z'
'-x,-y,-z'
'-y,x+1/2,z+1/2'
'y,-x+1/2,-z+1/2'
'-x+1/2,-y+1/2,z'
'x+1/2,y+1/2,-z'
'y+1/2,-x,z+1/2'
'-y+1/2,x,-z+1/2'
loop_
_atom_site_label
_atom_site_fract_x
_atom_site_fract_y
_atom_site_fract_z
Nd1 0.250 0.250 0.250
In1 0.102 0.630 0.141
Cu1 0.063 0.591 0.641
# crystal system	tetragonal
# energy of formation	0.02	eV/atom
# magnetic moment	0.00	Bohr magnetons per cell

---

Entry 15:
# NdInCu3 GGA-PBE relaxed
data_NdInCu3
_cell_length_a 4.495
_cell_length_b 4.495
_cell_length_c 20.423
_cell_angle_alpha 90.00
_cell_angle_beta 90.00
_cell_angle_gamma 90.00
_space_group_name_H-M_alt 'I -4 m 2'
_space_group_IT_number 119
_space_group_name_Hall 'I -4 -2'
loop_
_atom_site_label
_atom_site_fract_x
_atom_site_fract_y
_atom_site_fract_z
Nd1 0.000 0.000 0.000
Nd2 0.000 0.500 0.250
In1 0.000 0.000 0.419
Cu1 0.000 0.247 0.128
Cu2 0.000 0.500 0.679
# crystal system	tetragonal
# energy of formation	0.07	eV/atom
# magnetic moment	0.00	Bohr magnetons per cell

---

Entry 16:
# NdIn2Cu9 GGA-PBE relaxed
data_NdIn2Cu9
_cell_length_a 8.530
_cell_length_b 8.530
_cell_length_c 5.021
_cell_angle_alpha 90.00
_cell_angle_beta 90.00
_cell_angle_gamma 90.00
_space_group_name_H-M_alt 'P 4/m b m'
_space_group_IT_number 127
_space_group_name_Hall '-P 4 2ab'
loop_
_atom_site_label
_atom_site_fract_x
_atom_site_fract_y
_atom_site_fract_z
Nd1 0.000 0.000 0.000
In1 0.124 0.376 0.000
Cu1 0.000 0.500 0.500
Cu2 0.064 0.206 0.500
Cu3 0.176 0.676 0.248
# crystal system	tetragonal
# energy of formation	-0.14	eV/atom
# magnetic moment	0.00	Bohr magnetons per cell
# distance to the lowest polymorph of the same formula	0	meV per atom

---

Entry 17:
# NdInCu GGA-PBE relaxed
data_NdInCu
_cell_length_a 3.401
_cell_length_b 3.401
_cell_length_c 11.810
_cell_angle_alpha 90.00
_cell_angle_beta 90.00
_cell_angle_gamma 90.00
_space_group_name_H-M_alt 'I 4 m m'
_space_group_IT_number 107
_space_group_name_Hall 'I 4 -2'
loop_
_atom_site_label
_atom_site_fract_x
_atom_site_fract_y
_atom_site_fract_z
Nd1 0.000 0.000 0.000
In1 0.000 0.000 0.706
Cu1 0.000 0.000 0.333
# crystal system	tetragonal
# energy of formation	-0.19	eV/atom
# magnetic moment	0.00	Bohr magnetons per cell

---

Entry 18:
# NdIn4Cu2 GGA-PBE relaxed
data_NdIn4Cu2
_cell_length_a 18.312
_cell_length_b 4.582
_cell_length_c 7.263
_cell_angle_alpha 90.00
_cell_angle_beta 90.00
_cell_angle_gamma 90.00
_space_group_name_H-M_alt 'P n m a'
_space_group_IT_number 62
_space_group_name_Hall '-P 2ac 2n'
loop_
_atom_site_label
_atom_site_fract_x
_atom_site_fract_y
_atom_site_fract_z
Nd1 0.140 0.250 0.019
In1 0.031 0.750 0.850
In2 0.071 0.250 0.499
In3 0.184 0.750 0.322
In4 0.193 0.750 0.730
Cu1 0.040 0.750 0.244
Cu2 0.219 0.250 0.531
# crystal system	orthorhombic
# energy of formation	-0.23	eV/atom
# magnetic moment	0.00	Bohr magnetons per cell

---

Entry 19:
# NdIn2Cu GGA-PBE relaxed
data_NdIn2Cu
_cell_length_a 4.5067
_cell_length_b 4.5067
_cell_length_c 16.7227
_cell_angle_alpha 90.00
_cell_angle_beta 90.00
_cell_angle_gamma 120.00
_space_group_name_H-M_alt 'R -3 m'
_space_group_IT_number 166
_space_group_name_Hall '-R 3 2"'
loop_
_atom_site_label
_atom_site_fract_x
_atom_site_fract_y
_atom_site_fract_z
Nd1 0.0000 0.0000 0.0000
In1 0.0000 0.0000 0.2169
Cu1 0.0000 0.0000 0.5000
# crystal system	trigonal
# energy of formation	-0.27	eV/atom
# magnetic moment	0.00	Bohr magnetons per cell

---

Entry 20:
# NdInCu GGA-PBE relaxed
data_NdInCu
_cell_length_a 13.413
_cell_length_b 4.056
_cell_length_c 7.659
_cell_angle_alpha 90.00
_cell_angle_beta 90.00
_cell_angle_gamma 90.00
_space_group_name_H-M_alt 'P m m a'
_space_group_IT_number 51
_space_group_name_Hall '-P 2a 2a'
loop_
_atom_site_label
_atom_site_fract_x
_atom_site_fract_y
_atom_site_fract_z
Nd1 0.044 0.000 0.241
Nd2 0.250 0.000 0.861
In1 0.126 0.500 0.575
In2 0.250 0.500 0.203
Cu1 0.090 0.500 0.949
Cu2 0.250 0.000 0.448
# crystal system	orthorhombic
# energy of formation	-0.37	eV/atom
# magnetic moment	0.00	Bohr magnetons per cell